Density functional theory data (PBEsol) for an optimized crystal structure of Li2Ru.

Unit cell a=2.5024 b=2.5024 c=13.4993 alpha=90.00 beta=90.00 gamma=90.00
Fractional coordinates of all 6 atoms:
Li (0.0000, 0.0000, 0.1531)
Li (0.0000, 0.0000, 0.8469)
Li (0.5000, 0.5000, 0.3469)
Li (0.5000, 0.5000, 0.6531)
Ru (0.0000, 0.0000, 0.5000)
Ru (0.5000, 0.5000, 0.0000)

Magnetization   0.0 μB/f.u.
Calculated formation energy   4.617 kcal/mol of atoms
Calculated total energy   -4.502 eV/atom



Density functional theory data (PBEsol) for an optimized crystal structure of Li3Ru.

Unit cell a=2.5241 b=2.5241 c=9.2533 alpha=90.00 beta=90.00 gamma=90.00
Fractional coordinates of all 4 atoms:
Li (0.0000, 0.0000, 0.0000)
Li (0.5000, 0.5000, 0.2765)
Li (0.5000, 0.5000, 0.7235)
Ru (0.0000, 0.0000, 0.5000)

Magnetization   0.0 μB/f.u.
Calculated formation energy   4.193 kcal/mol of atoms
Calculated total energy   -3.836 eV/atom



Density functional theory data (PBEsol) for an optimized crystal structure of LiRu.

Unit cell a=4.3455 b=2.4597 c=4.9817 alpha=90.00 beta=90.00 gamma=90.00
Fractional coordinates of all 4 atoms:
Li (0.2500, 0.0000, 0.1241)
Li (0.7500, 0.0000, 0.8759)
Ru (0.2500, 0.5000, 0.6125)
Ru (0.7500, 0.5000, 0.3875)

Magnetization   0.0 μB/f.u.
Calculated formation energy   6.076 kcal/mol of atoms
Calculated total energy   -5.806 eV/atom



Density functional theory data (PBEsol) for an optimized crystal structure of Li2Ru.

Unit cell a=8.5030 b=2.6534 c=8.4373 alpha=90.00 beta=114.53 gamma=90.00
Fractional coordinates of all 12 atoms:
Li (0.0037, 0.0000, 0.2405)
Li (0.1837, 0.5000, 0.6227)
Li (0.3163, 0.0000, 0.3773)
Li (0.4963, 0.5000, 0.7595)
Li (0.5037, 0.5000, 0.2405)
Li (0.6837, 0.0000, 0.6227)
Li (0.8163, 0.5000, 0.3773)
Li (0.9963, 0.0000, 0.7595)
Ru (0.1543, 0.5000, 0.0545)
Ru (0.3457, 0.0000, 0.9455)
Ru (0.6543, 0.0000, 0.0545)
Ru (0.8457, 0.5000, 0.9455)

Magnetization   0.0 μB/f.u.
Calculated formation energy   3.349 kcal/mol of atoms
Calculated total energy   -4.557 eV/atom



Density functional theory data (PBEsol) for an optimized crystal structure of LiRu.

Unit cell a=5.8153 b=5.8153 c=5.8153 alpha=90.00 beta=90.00 gamma=90.00
Fractional coordinates of all 16 atoms:
Li (0.1250, 0.1250, 0.1250)
Li (0.1250, 0.6250, 0.6250)
Li (0.3750, 0.3750, 0.8750)
Li (0.3750, 0.8750, 0.3750)
Li (0.6250, 0.1250, 0.6250)
Li (0.6250, 0.6250, 0.1250)
Li (0.8750, 0.3750, 0.3750)
Li (0.8750, 0.8750, 0.8750)
Ru (0.1250, 0.1250, 0.6250)
Ru (0.1250, 0.6250, 0.1250)
Ru (0.3750, 0.3750, 0.3750)
Ru (0.3750, 0.8750, 0.8750)
Ru (0.6250, 0.1250, 0.1250)
Ru (0.6250, 0.6250, 0.6250)
Ru (0.8750, 0.3750, 0.8750)
Ru (0.8750, 0.8750, 0.3750)

Magnetization   0.0 μB/f.u.
Calculated formation energy   3.751 kcal/mol of atoms
Calculated total energy   -5.907 eV/atom



Density functional theory data (PBEsol) for an optimized crystal structure of LiRu.

Unit cell a=8.4008 b=2.6007 c=4.9393 alpha=90.00 beta=95.18 gamma=90.00
Fractional coordinates of all 8 atoms:
Li (0.1218, 0.0000, 0.3984)
Li (0.3782, 0.5000, 0.6016)
Li (0.6218, 0.5000, 0.3984)
Li (0.8782, 0.0000, 0.6016)
Ru (0.1265, 0.5000, 0.9146)
Ru (0.3735, 0.0000, 0.0854)
Ru (0.6265, 0.0000, 0.9146)
Ru (0.8735, 0.5000, 0.0854)

Magnetization   0.0 μB/f.u.
Calculated formation energy   4.725 kcal/mol of atoms
Calculated total energy   -5.865 eV/atom



Density functional theory data (PBEsol) for an optimized crystal structure of Li3RuS.

Unit cell a=4.4256 b=4.4256 c=4.4256 alpha=90.00 beta=90.00 gamma=90.00
Fractional coordinates of all 5 atoms:
Li (0.0000, 0.0000, 0.5000)
Li (0.0000, 0.5000, 0.0000)
Li (0.5000, 0.0000, 0.0000)
Ru (0.5000, 0.5000, 0.5000)
S (0.0000, 0.0000, 0.0000)

Formation energy (no corrections)   0.296 eV per atom
Magnetization   2.9 μB/f.u.
Calculated total energy   -3.795 eV/atom



Density functional theory data (PBEsol) for an optimized crystal structure of LiScRu2S.

Unit cell a=4.3250 b=4.3250 c=4.1950 alpha=90.00 beta=90.00 gamma=90.00
Fractional coordinates of all 5 atoms:
Li (0.0000, 0.0000, 0.0000)
Sc (0.5000, 0.5000, 0.0000)
Ru (0.0000, 0.5000, 0.5000)
Ru (0.5000, 0.0000, 0.5000)
S (0.0000, 0.0000, 0.5000)

Formation energy (no corrections)   -0.193 eV per atom
Magnetization   0.0 μB/f.u.
Calculated total energy   -6.854 eV/atom



Density functional theory data (PBEsol) for an optimized crystal structure of LiSb3Ru.

Unit cell a=5.1135 b=5.1135 c=5.1135 alpha=90.00 beta=90.00 gamma=90.00
Fractional coordinates of all 5 atoms:
Li (0.0000, 0.0000, 0.0000)
Sb (0.0000, 0.5000, 0.5000)
Sb (0.5000, 0.0000, 0.5000)
Sb (0.5000, 0.5000, 0.0000)
Ru (0.5000, 0.5000, 0.5000)

Formation energy (no corrections)   0.294 eV per atom
Magnetization   0.0 μB/f.u.
Calculated total energy   -4.868 eV/atom



Density functional theory data (PBEsol) for an optimized crystal structure of LiSbRu3.

Unit cell a=4.1216 b=4.1216 c=4.1216 alpha=90.00 beta=90.00 gamma=90.00
Fractional coordinates of all 5 atoms:
Li (0.0000, 0.0000, 0.0000)
Sb (0.5000, 0.5000, 0.5000)
Ru (0.0000, 0.0000, 0.5000)
Ru (0.0000, 0.5000, 0.0000)
Ru (0.5000, 0.0000, 0.0000)

Formation energy (no corrections)   0.909 eV per atom
Magnetization   1.0 μB/f.u.
Calculated total energy   -6.500 eV/atom
Energy relative to the lowest polymorph listed for this composition   0.000 eV per atom



Density functional theory data (PBEsol) for an optimized crystal structure of Li2ScRu.

Unit cell a=3.6797 b=3.6797 c=9.1768 alpha=90.00 beta=90.00 gamma=90.00
Fractional coordinates of all 8 atoms:
Li (0.0000, 0.5000, 0.2500)
Li (0.0000, 0.5000, 0.7500)
Li (0.5000, 0.0000, 0.2500)
Li (0.5000, 0.0000, 0.7500)
Sc (0.0000, 0.0000, 0.0000)
Sc (0.5000, 0.5000, 0.5000)
Ru (0.0000, 0.0000, 0.5000)
Ru (0.5000, 0.5000, 0.0000)

Magnetization   0.0 μB/f.u.
Calculated formation energy   0.549 kcal/mol of atoms
Calculated total energy   -5.154 eV/atom
Energy relative to the lowest polymorph listed for this composition   0.000 eV per atom



Density functional theory data (PBEsol) for an optimized crystal structure of Li2ScRu.

Unit cell a=3.2320 b=4.8313 c=9.1621 alpha=90.00 beta=90.00 gamma=90.00
Fractional coordinates of all 8 atoms:
Li (0.0000, 0.0000, 0.0000)
Li (0.0000, 0.5000, 0.2835)
Li (0.5000, 0.0000, 0.2835)
Li (0.5000, 0.5000, 0.0000)
Sc (0.0000, 0.5000, 0.7026)
Sc (0.5000, 0.0000, 0.7026)
Ru (0.0000, 0.0000, 0.5007)
Ru (0.5000, 0.5000, 0.5007)

Magnetization   0.0 μB/f.u.
Calculated formation energy   1.320 kcal/mol of atoms
Calculated total energy   -5.120 eV/atom
Energy relative to the lowest polymorph listed for this composition   0.033 eV per atom



Q: calculated total energy of number 4 (Li2Ru)?
A: -4.557 eV/atom